Below is a relaxed structure of V2CuTcO8, with properties calculated at the PBE+U level.

**Crystal system**: orthorhombic
**VASP energy**: -7.227 eV per atom
**Magnetic moment**: 4.1 μB/cell
**Theoretical density**: 5.114 g/cm3

The structure in CIF format:
```
data_V2CuTcO8
_chemical_formula_sum 'V4 Cu2 Tc2 O16'
_space_group_name_H-M_alt 'C m m m'
_space_group_IT_number 65
_space_group_name_Hall '-C 2 2'
_cell_length_a 6.3818
_cell_length_b 6.4401
_cell_length_c 6.1849
_cell_angle_alpha 90.00
_cell_angle_beta 90.00
_cell_angle_gamma 90.00
loop_
_atom_site_label
_atom_site_fract_x
_atom_site_fract_y
_atom_site_fract_z
V1 0.0000 0.0000 0.2393
Cu1 0.0000 0.5000 0.0000
Tc1 0.0000 0.5000 0.5000
O1 0.0000 0.2942 0.2731
O2 0.1939 0.0000 0.0000
O3 0.2020 0.0000 0.5000
```